(1)
Material: Ca3CoRh
Method: DFT, PBE
State: relaxed

```
5
Lattice="-0.2008 -2.1607 4.9004 -2.8924 -4.0835 -1.9190 4.5075 -2.7166 -1.0131" Properties=species:S:1:pos:R:3 pbc="T T T"
Ca -1.4462 -2.0417 -0.9595
Rh 0.0000 0.0000 0.0000
Co 0.7072 -4.4804 0.9842
Ca -0.1004 -1.0803 2.4502
Ca 2.2537 -1.3583 -0.5066
```

Output
- D(E_F): 6.21 states/eV/atom
- M_tot: 1.60 μB per formula unit

***

(2)
Material: CaCoRh3
Method: DFT, PBE
State: relaxed

```
5
Lattice="-0.7197 3.9433 -2.3936 -2.2408 -2.4164 -3.3071 -4.0321 0.6391 2.2651" Properties=species:S:1:pos:R:3 pbc="T T T"
Ca 0.0000 0.0000 0.0000
Rh -0.3598 1.9716 -1.1968
Rh -2.0161 0.3195 1.1325
Rh -1.1204 -1.2082 -1.6535
Co -3.4963 1.0830 -1.7178
```

Output
- D(E_F): 4.59 states/eV/atom
- M_tot: 0.20 μB per formula unit

***

(3)
Material: Ca2CoRh
Method: DFT, PBE
State: relaxed

```
4
Lattice="-3.3272 0.4594 -0.8176 -0.4846 -3.2658 0.1371 -2.1219 -2.7312 7.1005" Properties=species:S:1:pos:R:3 pbc="T T T"
Rh -3.6185 -4.2680 5.0194
Co -2.3152 -1.2695 1.4006
Ca -1.3172 -2.9937 3.6780
Ca -2.1081 -2.7359 7.0413
```

Output
- D(E_F): 1.49 states/eV/atom
- M_tot: 1.33 μB per formula unit

***

(4)
Material: Ca2CoRh
Method: DFT, PBE
State: relaxed

```
8
Lattice="-1.4301 7.4621 0.4845 -7.4299 -1.3623 -0.9506 -4.7534 2.8007 2.6517" Properties=species:S:1:pos:R:3 pbc="T T T"
Rh -5.3068 6.6564 1.4516
Co -8.3067 2.2442 0.7340
Co -4.4300 3.0499 -0.2331
Ca -3.0180 5.2303 0.8493
Ca -6.8512 4.3946 1.8187
Ca -11.3541 7.4312 1.5763
Ca -6.0038 0.7449 0.1270
Rh 0.0000 0.0000 0.0000
```

Output
- D(E_F): 1.43 states/eV/atom
- M_tot: 1.61 μB per formula unit

***

Formation energy from the elements values, unit eV/atom, following the record order: 0.37; 2.00; 0.11; 0.38.